(1)
The following is a DFT calculation (PBE-GGA) of a geometry-optimized NaInAg4 structure.

Lattice parameters (Å, degrees): 4.7070 7.2358 7.2358 106.01 89.92 89.92
Positions (direct):
In1 0.2500 0.3287 0.6713
In2 0.7500 0.6713 0.3287
Ag1 0.2499 0.7347 0.6040
Ag2 0.7500 0.0164 0.6452
Ag3 0.7500 0.3548 0.9836
Ag4 0.2500 0.9836 0.3548
Ag5 0.7499 0.6040 0.7347
Ag6 0.2500 0.6452 0.0164
Ag7 0.7501 0.2653 0.3960
Ag8 0.2501 0.3960 0.2653
Na1 0.7500 0.9333 0.0667
Na2 0.2500 0.0667 0.9333

Properties
Energy relative to the elements in eV per atom: 0.018
Space group: C2/c (15)
Distance to the lowest polymorph of the same formula in eV/f.u.: 0.19

---

(2)
The following is a DFT calculation (PBE-GGA) of a geometry-optimized AgSb4Ru structure.

Lattice parameters (Å, degrees): 6.0703 6.0703 6.0703 60.00 60.00 60.00
Positions (direct):
Sb1 0.3751 0.3751 0.3751
Sb2 0.8748 0.3751 0.3751
Sb3 0.3751 0.8748 0.3751
Sb4 0.3751 0.3751 0.8748
Ru1 0.0000 0.0000 0.0000
Ag1 0.7500 0.7500 0.7500

Properties
Space group: F-43m (216)

---

Calculated total energy across the listed records, respectively: -15.35, -23.11 eV per formula unit.